Record 1
# SrGdRh2

SrGdRh2 after structural relaxation (PBE, Alexandria).

It has space group P4/mmm (No. 123), with a = 3.5102 Å, b = 3.5102 Å, c = 7.2179 Å, α = 90.00°, β = 90.00° and γ = 90.00°. The inequivalent atoms are Sr at (0.0000, 0.0000, 0.0000), Gd at (0.0000, 0.0000, 0.5000) and Rh at (0.5000, 0.5000, 0.2828).

The energy above the most stable polymorph in this dataset is 0.0 kJ/mol of atoms. The formation energy is -0.491 eV per atom. For the density of states at the Fermi level, the calculation gives 0.76 states/eV/cell. The calculation puts the total energy at -32.43 eV for the cell shown.

Record 2
# EuMgBiAu

EuMgBiAu after structural relaxation (PBE, Alexandria).

It has space group F-43m (No. 216), with a = 7.4454 Å, b = 7.4454 Å, c = 7.4454 Å, α = 90.00°, β = 90.00° and γ = 90.00°. The inequivalent atoms are Eu at (0.0000, 0.0000, 0.0000), Mg at (0.0000, 0.0000, 0.5000), Bi at (0.2500, 0.2500, 0.7500) and Au at (0.2500, 0.2500, 0.2500).

The formation energy is -0.582 eV per atom. For the density of states at the Fermi level, the calculation gives 24.94 states/eV/cell. The calculation puts the total energy at -85.42 eV for the cell shown.

Record 3
# Ga2TcH6

Ga2TcH6 after structural relaxation (PBE, Alexandria).

It has space group Fm-3m (No. 225), with a = 6.5332 Å, b = 6.5332 Å, c = 6.5332 Å, α = 90.00°, β = 90.00° and γ = 90.00°. The inequivalent atoms are Ga at (0.2500, 0.2500, 0.2500), Tc at (0.0000, 0.0000, 0.0000) and H at (0.0000, 0.0000, 0.2664).

The energy above the most stable polymorph in this dataset is 5.7 kJ/mol of atoms. For the density of states at the Fermi level, the calculation gives 13.16 states/eV/cell. The calculation puts the total energy at -141.02 eV for the cell shown.

Record 4
# Mn4CuS7

Mn4CuS7 after structural relaxation (PBE, Alexandria).

It has space group P-3m1 (No. 164), with a = 3.4578 Å, b = 3.4578 Å, c = 20.6307 Å, α = 90.00°, β = 90.00° and γ = 120.00°. The inequivalent atoms are Mn at (0.3333, 0.6667, 0.1439), Mn at (0.3333, 0.6667, 0.4236), Cu at (0.0000, 0.0000, 0.0000), S at (0.0000, 0.0000, 0.2041), S at (0.0000, 0.0000, 0.5000), S at (0.3333, 0.6667, 0.6360) and S at (0.3333, 0.6667, 0.9278).

For the density of states at the Fermi level, the calculation gives 4.97 states/eV/cell. The calculation puts the total energy at -75.02 eV for the cell shown. The formation energy without anion corrections comes out at -0.446 eV per atom.

Record 5
# Li2Cd5Hg4

Li2Cd5Hg4 after structural relaxation (PBE, Alexandria).

It has space group C2/m (No. 12), with a = 20.9600 Å, b = 3.3089 Å, c = 7.7977 Å, α = 90.00°, β = 110.82° and γ = 90.00°. The inequivalent atoms are Li at (0.0876, 0.0000, 0.0940), Cd at (0.0000, 0.0000, 0.5000), Cd at (0.1429, 0.5000, 0.4540), Cd at (0.1525, 0.5000, 0.8608), Hg at (0.0043, 0.5000, 0.8114) and Hg at (0.2240, 0.0000, 0.2380).

The formation energy is -0.097 eV per atom. For the density of states at the Fermi level, the calculation gives 6.58 states/eV/cell. The calculation puts the total energy at -21.35 eV for the cell shown.

Record 6
# AcNdRh

AcNdRh after structural relaxation (PBE, Alexandria).

It has space group P-1 (No. 2), with a = 4.3074 Å, b = 6.7486 Å, c = 7.4739 Å, α = 100.94°, β = 90.04° and γ = 108.54°. The inequivalent atoms are Ac at (0.1266, 0.2508, 0.3640), Nd at (0.3668, 0.7347, 0.1133) and Rh at (0.2433, 0.4875, 0.7510).

The energy above the most stable polymorph in this dataset is 0.0 kJ/mol of atoms. The formation energy is -0.514 eV per atom. For the density of states at the Fermi level, the calculation gives 6.12 states/eV/cell. The calculation puts the total energy at -35.54 eV for the cell shown.